Here is crystalline LiBOs2 at its relaxed geometry from the Open Quantum Materials Database. Energies are from PBE.

Energy in eV per atom: -7.267
Crystal system: cubic

abc: 4.060 4.060 4.060
angles: 60.00 60.00 60.00
Positions (direct):
Li 0.000 0.000 0.000
B 0.750 0.750 0.750
Os 0.250 0.250 0.250
Os 0.500 0.500 0.500

Here is crystalline CsAuNO at its relaxed geometry from the Open Quantum Materials Database. Energies are from PBE.

Energy above the lowest structure with this stoichiometry in eV per atom: 0.7497
Crystal system: tetragonal

abc: 4.211 4.211 11.258
angles: 90.00 90.00 90.00
Positions (direct):
Cs 0.250 0.250 0.169
Cs 0.750 0.750 0.831
Au 0.250 0.750 0.500
Au 0.750 0.250 0.500
N 0.250 0.250 0.457
N 0.750 0.750 0.543
O 0.250 0.750 0.000
O 0.750 0.250 0.000

Here is crystalline TmSi2NiOs at its relaxed geometry from the Open Quantum Materials Database. Energies are from PBE.

Energy in eV per atom: -7.196
Crystal system: tetragonal

abc: 5.712 5.712 5.712
angles: 139.52 139.52 58.58
Positions (direct):
Tm 0.000 0.000 0.000
Si 0.379 0.379 0.000
Si 0.621 0.621 0.000
Ni 0.250 0.750 0.500
Os 0.750 0.250 0.500

What did the third record say?
Here is crystalline TmSi2NiOs at its relaxed geometry from the Open Quantum Materials Database. Energies are from PBE.

Energy in eV per atom: -7.196
Crystal system: tetragonal

abc: 5.712 5.712 5.712
angles: 139.52 139.52 58.58
Positions (direct):
Tm 0.000 0.000 0.000
Si 0.379 0.379 0.000
Si 0.621 0.621 0.000
Ni 0.250 0.750 0.500
Os 0.750 0.250 0.500